GGA-PBE La3Cu, optimized geometry; energy = -0.349 Ry per atom; DOS at the Fermi energy = 1.192 states/eV/atom; space-group type = Imm2, No. 44
1.0
-1.838 5.607 2.947
1.838 -5.607 2.947
1.838 5.607 -2.947
La Cu
3 1
Direct
0.000 0.000 0.000
0.232 0.435 0.797
0.638 0.435 0.203
0.582 0.082 0.500